1.
Material: NaSbTe2H
Method: DFT, PBE
State: relaxed

Unit cell a=5.8285 b=5.8285 c=3.6296 alpha=90.00 beta=90.00 gamma=90.00
With the nearest neighbours (Å) after each atom.
Sites, in units of the cell vectors:
Sb 0.0000 0.0000 0.5000  2 H 1.81
Te 0.0000 0.5000 0.0000  2 H 2.91
Te 0.5000 0.0000 0.0000  2 H 2.91
H 0.0000 0.0000 0.0000  2 Sb 1.81
Na 0.5000 0.5000 0.5000  8 Te 3.43, 2 Na 3.63

Computed properties:
* electronic total energy: -2.922 eV/atom
* energy relative to the lowest polymorph listed for this composition: 0.000 eV/atom

---

2.
Material: Na2TlSbH
Method: DFT, PBE
State: relaxed

Unit cell a=5.1520 b=5.1520 c=4.3210 alpha=90.00 beta=90.00 gamma=90.00
With the nearest neighbours (Å) after each atom.
Sites, in units of the cell vectors:
Sb 0.0000 0.0000 0.5000  2 H 2.16
Tl 0.5000 0.5000 0.5000  8 Na 3.36, 4 Sb 3.64
H 0.0000 0.0000 0.0000  2 Sb 2.16
Na 0.0000 0.5000 0.0000  2 H 2.58
Na 0.5000 0.0000 0.0000  2 H 2.58

Computed properties:
* electronic total energy: -2.596 eV/atom
* energy relative to the lowest polymorph listed for this composition: 0.072 eV/atom

---

3.
Material: NaTl2SbH
Method: DFT, PBE
State: relaxed

Unit cell a=5.3196 b=5.3196 c=4.3803 alpha=90.00 beta=90.00 gamma=90.00
With the nearest neighbours (Å) after each atom.
Sites, in units of the cell vectors:
Sb 0.0000 0.0000 0.5000  2 H 2.19
Tl 0.0000 0.5000 0.0000  2 H 2.66
Tl 0.5000 0.0000 0.0000  2 H 2.66
H 0.0000 0.0000 0.0000  2 Sb 2.19
Na 0.5000 0.5000 0.5000  8 Tl 3.45, 4 Sb 3.76

Computed properties:
* electronic total energy: -2.636 eV/atom
* energy relative to the lowest polymorph listed for this composition: 0.067 eV/atom

---

4.
Material: NaTl2SbH
Method: DFT, PBE
State: relaxed

Unit cell a=5.0635 b=5.0635 c=4.6563 alpha=90.00 beta=90.00 gamma=90.00
With the nearest neighbours (Å) after each atom.
Sites, in units of the cell vectors:
Sb 0.5000 0.5000 0.5000  8 Tl 3.44, 4 Na 3.58
Tl 0.0000 0.5000 0.0000  2 H 2.53
Tl 0.5000 0.0000 0.0000  2 H 2.53
H 0.0000 0.0000 0.0000  2 Na 2.33, 4 Tl 2.53
Na 0.0000 0.0000 0.5000  2 H 2.33

Computed properties:
* electronic total energy: -2.703 eV/atom
* energy relative to the lowest polymorph listed for this composition: 0.000 eV/atom

---

5.
Material: Na2TlSbH
Method: DFT, PBE
State: relaxed

Unit cell a=4.6150 b=4.6150 c=5.2085 alpha=90.00 beta=90.00 gamma=90.00
With the nearest neighbours (Å) after each atom.
Sites, in units of the cell vectors:
Sb 0.5000 0.5000 0.5000  4 Tl 3.26, 8 Na 3.48
Tl 0.0000 0.0000 0.5000  2 H 2.60
H 0.0000 0.0000 0.0000  4 Na 2.31
Na 0.0000 0.5000 0.0000  2 H 2.31
Na 0.5000 0.0000 0.0000  2 H 2.31

Computed properties:
* electronic total energy: -2.668 eV/atom
* energy relative to the lowest polymorph listed for this composition: 0.000 eV/atom

---

6.
Material: NaSbH2W
Method: DFT, PBE
State: relaxed

Unit cell a=3.9043 b=6.7059 c=3.9043 alpha=90.00 beta=90.00 gamma=90.00
With the nearest neighbours (Å) after each atom.
Sites, in units of the cell vectors:
Sb 0.5000 0.5000 0.5000  4 W 2.76
H 0.0000 0.0000 0.5000  2 Na 1.95
H 0.5000 0.0000 0.0000  2 Na 1.95
W 0.0000 0.5000 0.0000  4 Sb 2.76
Na 0.0000 0.0000 0.0000  4 H 1.95

Computed properties:
* electronic total energy: -3.723 eV/atom